[1]
The following is a DFT calculation (PBE-GGA) of crystalline ZrTaN3 at its relaxed geometry.

space-group type: No. 62
spin magnetization: 0.0 μB per formula unit
raw formation energy: -1.2029 eV/atom
raw total energy: -0.7554 Ry per atom

Lattice parameters (Å, degrees): 5.7759 3.1162 12.1556 90.00 90.00 90.00
Element x y z (fractional)
Zr1 0.1556 0.2500 0.2024
Zr2 0.3444 0.7500 0.7024
Zr3 0.6556 0.2500 0.2976
Zr4 0.8444 0.7500 0.7976
Ta1 0.2442 0.7500 0.4506
Ta2 0.2558 0.2500 0.9506
Ta3 0.7442 0.7500 0.0494
Ta4 0.7558 0.2500 0.5494
N1 0.0300 0.2500 0.3999
N2 0.1277 0.7500 0.0617
N3 0.1435 0.2500 0.7856
N4 0.3565 0.7500 0.2856
N5 0.3723 0.2500 0.5617
N6 0.4700 0.7500 0.8999
N7 0.5300 0.2500 0.1001
N8 0.6277 0.7500 0.4383
N9 0.6435 0.2500 0.7144
N10 0.8565 0.7500 0.2144
N11 0.8723 0.2500 0.9383
N12 0.9700 0.7500 0.6001



[2]
The following is a DFT calculation (PBE-GGA) of crystalline TiPtSe3 at its relaxed geometry.

space-group type: No. 221
spin magnetization: 0.0 μB per formula unit
ΔE to the lowest computed polymorph: 0.000 eV per atom
raw formation energy: 0.2470 eV/atom
raw total energy: -0.3404 Ry per atom

Lattice parameters (Å, degrees): 4.8556 4.8556 4.8556 90.00 90.00 90.00
Element x y z (fractional)
Ti1 0.0000 0.0000 0.0000
Pt1 0.5000 0.5000 0.5000
Se1 0.0000 0.0000 0.5000
Se2 0.0000 0.5000 0.0000
Se3 0.5000 0.0000 0.0000



[3]
The following is a DFT calculation (PBE-GGA) of crystalline AcBAsPt6 at its relaxed geometry.

space-group type: No. 74
spin magnetization: 0.0 μB per formula unit
E_form: -0.452 eV per atom
raw total energy: -0.4553 Ry per atom

Lattice parameters (Å, degrees): 7.9741 7.9741 7.9741 124.14 118.57 87.74
Element x y z (fractional)
Ac1 0.4119 0.1619 0.2500
Ac2 0.5881 0.8381 0.7500
B1 0.0000 0.5000 0.5000
B2 0.5000 0.5000 0.0000
As1 0.0000 0.0000 0.5000
As2 0.0000 0.5000 0.0000
Pt1 0.0969 0.4073 0.2647
Pt2 0.0969 0.8322 0.6896
Pt3 0.1354 0.8854 0.2500
Pt4 0.3162 0.5662 0.7500
Pt5 0.3574 0.1678 0.7647
Pt6 0.3574 0.5927 0.1896
Pt7 0.6426 0.4073 0.8104
Pt8 0.6426 0.8322 0.2353
Pt9 0.6838 0.4338 0.2500
Pt10 0.8646 0.1146 0.7500
Pt11 0.9031 0.1678 0.3104
Pt12 0.9031 0.5927 0.7353



[4]
The following is a DFT calculation (PBE-GGA) of crystalline Na12H5Pt3 at its relaxed geometry.

space-group type: No. 230
spin magnetization: 0.0 μB per formula unit
raw total energy: -0.1891 Ry per atom

Lattice parameters (Å, degrees): 13.0726 13.0726 13.0726 109.47 109.47 109.47
Element x y z (fractional)
Na1 0.0291 0.2102 0.1241
Na2 0.0291 0.3189 0.9050
Na3 0.0861 0.7101 0.6811
Na4 0.0861 0.8759 0.4050
Na5 0.0950 0.6241 0.4139
Na6 0.0950 0.9709 0.6811
Na7 0.1241 0.0291 0.2102
Na8 0.1241 0.5950 0.9139
Na9 0.1811 0.2102 0.5861
Na10 0.1811 0.4709 0.5950
Na11 0.2102 0.1241 0.0291
Na12 0.2102 0.5861 0.1811
Na13 0.2898 0.3189 0.9139
Na14 0.2898 0.4709 0.3759
Na15 0.3189 0.9050 0.0291
Na16 0.3189 0.9139 0.2898
Na17 0.3759 0.2898 0.4709
Na18 0.3759 0.5861 0.9050
Na19 0.4050 0.0861 0.8759
Na20 0.4050 0.8189 0.5291
Na21 0.4139 0.0950 0.6241
Na22 0.4139 0.8189 0.7899
Na23 0.4709 0.3759 0.2898
Na24 0.4709 0.5950 0.1811
Na25 0.5291 0.4050 0.8189
Na26 0.5291 0.6241 0.7101
Na27 0.5861 0.1811 0.2102
Na28 0.5861 0.9050 0.3759
Na29 0.5950 0.1811 0.4709
Na30 0.5950 0.9139 0.1241
Na31 0.6241 0.4139 0.0950
Na32 0.6241 0.7101 0.5291
Na33 0.6811 0.0861 0.7101
Na34 0.6811 0.0950 0.9709
Na35 0.7101 0.5291 0.6241
Na36 0.7101 0.6811 0.0861
Na37 0.7899 0.4139 0.8189
Na38 0.7899 0.8759 0.9709
Na39 0.8189 0.5291 0.4050
Na40 0.8189 0.7899 0.4139
Na41 0.8759 0.4050 0.0861
Na42 0.8759 0.9709 0.7899
Na43 0.9050 0.0291 0.3189
Na44 0.9050 0.3759 0.5861
Na45 0.9139 0.1241 0.5950
Na46 0.9139 0.2898 0.3189
Na47 0.9709 0.6811 0.0950
Na48 0.9709 0.7899 0.8759
H1 0.0000 0.0000 0.0000
H2 0.0000 0.0000 0.5000
H3 0.0000 0.5000 0.0000
H4 0.0000 0.5000 0.5000
H5 0.1250 0.7500 0.8750
H6 0.1250 0.8750 0.2500
H7 0.2500 0.1250 0.8750
H8 0.2500 0.6250 0.3750
H9 0.3750 0.2500 0.6250
H10 0.3750 0.6250 0.7500
H11 0.5000 0.0000 0.0000
H12 0.5000 0.0000 0.5000
H13 0.5000 0.5000 0.0000
H14 0.5000 0.5000 0.5000
H15 0.6250 0.3750 0.2500
H16 0.6250 0.7500 0.3750
H17 0.7500 0.3750 0.6250
H18 0.7500 0.8750 0.1250
H19 0.8750 0.1250 0.7500
H20 0.8750 0.2500 0.1250
Pt1 0.1250 0.2500 0.3750
Pt2 0.1250 0.3750 0.7500
Pt3 0.2500 0.3750 0.1250
Pt4 0.2500 0.8750 0.6250
Pt5 0.3750 0.1250 0.2500
Pt6 0.3750 0.7500 0.1250
Pt7 0.6250 0.2500 0.8750
Pt8 0.6250 0.8750 0.7500
Pt9 0.7500 0.1250 0.3750
Pt10 0.7500 0.6250 0.8750
Pt11 0.8750 0.6250 0.2500
Pt12 0.8750 0.7500 0.6250



[5]
The following is a DFT calculation (PBE-GGA) of crystalline CdHPd3 at its relaxed geometry.

space-group type: No. 221
spin magnetization: 0.0 μB per formula unit
ΔE to the lowest computed polymorph: 0.000 eV per atom
raw total energy: -0.3128 Ry per atom

Lattice parameters (Å, degrees): 4.0747 4.0747 4.0747 90.00 90.00 90.00
Element x y z (fractional)
Cd1 0.0000 0.0000 0.0000
H1 0.5000 0.5000 0.5000
Pd1 0.0000 0.5000 0.5000
Pd2 0.5000 0.0000 0.5000
Pd3 0.5000 0.5000 0.0000